(1)
Material: Sm4IrSBr2
Method: DFT, GGA-PBE
State: relaxed

**Energy relative to the elements, uncorrected**: -1.31 eV/atom

The structure in CIF format:
```
data_Sm4IrSBr2
_chemical_formula_sum 'Sm4 Ir1 S1 Br2'
_cell_length_a 7.353
_cell_length_b 4.031
_cell_length_c 7.803
_cell_angle_alpha 90.00
_cell_angle_beta 107.58
_cell_angle_gamma 90.00
_symmetry_space_group_name_H-M 'P 1 2/m 1'
_symmetry_Int_Tables_number 10
_symmetry_space_group_name_Hall '-P 2y'
loop_
_atom_site_label
_atom_site_type_symbol
_atom_site_fract_x
_atom_site_fract_y
_atom_site_fract_z
Sm1 Sm 0.216 0.000 0.200
Sm2 Sm 0.266 0.500 0.802
Ir1 Ir 0.000 0.500 0.000
S1 S 0.500 0.000 0.000
Br1 Br 0.000 0.000 0.500
Br2 Br 0.500 0.500 0.500
```

(2)
Material: KMnMo2
Method: DFT, GGA-PBE
State: relaxed

**Energy above the most stable polymorph in this dataset**: 3.07 eV/f.u.
**ΔH_f (0 K)**: 1520 meV/atom

The structure in CIF format:
```
data_KMnMo2
_chemical_formula_sum 'K1 Mn1 Mo2'
_cell_length_a 3.824
_cell_length_b 3.824
_cell_length_c 5.159
_cell_angle_alpha 90.00
_cell_angle_beta 90.00
_cell_angle_gamma 90.00
_symmetry_space_group_name_H-M 'P 4/m m m'
_symmetry_Int_Tables_number 123
_symmetry_space_group_name_Hall '-P 4 2'
loop_
_atom_site_label
_atom_site_type_symbol
_atom_site_fract_x
_atom_site_fract_y
_atom_site_fract_z
K1 K 0.000 0.000 0.000
Mn1 Mn 0.500 0.500 0.000
Mo1 Mo 0.000 0.500 0.500
```

(3)
Material: HoLu2Pb
Method: DFT, GGA-PBE
State: relaxed

**Energy above the most stable polymorph in this dataset**: 0.00 eV/f.u.
**ΔH_f (0 K)**: -232 meV/atom

The structure in CIF format:
```
data_HoLu2Pb
_chemical_formula_sum 'Ho1 Lu2 Pb1'
_cell_length_a 4.804
_cell_length_b 4.804
_cell_length_c 4.782
_cell_angle_alpha 90.00
_cell_angle_beta 90.00
_cell_angle_gamma 90.00
_symmetry_space_group_name_H-M 'P 4/m m m'
_symmetry_Int_Tables_number 123
_symmetry_space_group_name_Hall '-P 4 2'
loop_
_atom_site_label
_atom_site_type_symbol
_atom_site_fract_x
_atom_site_fract_y
_atom_site_fract_z
Ho1 Ho 0.000 0.000 0.000
Lu1 Lu 0.000 0.500 0.500
Pb1 Pb 0.500 0.500 0.000
```

(4)
Material: AcPrAgAu
Method: DFT, GGA-PBE
State: relaxed

**Energy above the most stable polymorph in this dataset**: 0.00 eV/f.u.
**ΔH_f (0 K)**: -520 meV/atom

The structure in CIF format:
```
data_AcPrAgAu
_chemical_formula_sum 'Ac2 Pr2 Ag2 Au2'
_cell_length_a 4.929
_cell_length_b 4.110
_cell_length_c 11.623
_cell_angle_alpha 90.00
_cell_angle_beta 90.00
_cell_angle_gamma 90.00
_symmetry_space_group_name_H-M 'A m m 2'
_symmetry_Int_Tables_number 38
_symmetry_space_group_name_Hall 'A 2 -2'
loop_
_atom_site_label
_atom_site_type_symbol
_atom_site_fract_x
_atom_site_fract_y
_atom_site_fract_z
Ac1 Ac 0.000 0.000 0.000
Pr1 Pr 0.500 0.000 0.724
Ag1 Ag 0.000 0.000 0.279
Au1 Au 0.500 0.000 0.440
```

Number 1: magnetic moment 0.00 μB per formula unit. Number 2: magnetic moment 3.81 μB per formula unit. Number 3: magnetic moment 0.75 μB per formula unit. Number 4: magnetic moment 0.00 μB per formula unit.